# MnSb2Br PBE optimized geometry
# * excess energy over the best structure of this formula in the dataset: 33 kJ/mol of formula units
# * formation energy without anion corrections: -0.008 eV/atom
data_MnSb2Br
_chemical_formula_sum 'Mn2 Sb4 Br2'
_space_group_name_H-M_alt 'I m m 2'
_space_group_IT_number 44
_cell_length_a 3.653
_cell_length_b 4.316
_cell_length_c 14.860
_cell_angle_alpha 90.00
_cell_angle_beta 90.00
_cell_angle_gamma 90.00
loop_
_space_group_symop_operation_xyz
'x,y,z'
'-x,-y,z'
'-x,y,z'
'x,-y,z'
'x+1/2,y+1/2,z+1/2'
'-x+1/2,-y+1/2,z+1/2'
'-x+1/2,y+1/2,z+1/2'
'x+1/2,-y+1/2,z+1/2'
loop_
_atom_site_label
_atom_site_type_symbol
_atom_site_fract_x
_atom_site_fract_y
_atom_site_fract_z
Mn1 Mn 0.000 0.000 0.000
Sb1 Sb 0.000 0.000 0.550
Sb2 Sb 0.000 0.500 0.682
Br1 Br 0.000 0.500 0.371


# MnSbBr2 PBE optimized geometry
# * excess energy over the best structure of this formula in the dataset: 204 kJ/mol of formula units
# * formation energy without anion corrections: 0.275 eV/atom
data_MnSbBr2
_chemical_formula_sum 'Mn2 Sb2 Br4'
_space_group_name_H-M_alt 'I -4 m 2'
_space_group_IT_number 119
_space_group_name_Hall 'I -4 -2'
_cell_length_a 4.135
_cell_length_b 4.135
_cell_length_c 12.876
_cell_angle_alpha 90.00
_cell_angle_beta 90.00
_cell_angle_gamma 90.00
loop_
_atom_site_label
_atom_site_type_symbol
_atom_site_fract_x
_atom_site_fract_y
_atom_site_fract_z
Mn1 Mn 0.000 0.000 0.000
Sb1 Sb 0.000 0.500 0.750
Br1 Br 0.000 0.000 0.500
Br2 Br 0.000 0.500 0.250


# MnSb2Br PBE optimized geometry
# * excess energy over the best structure of this formula in the dataset: 11 kJ/mol of formula units
# * formation energy without anion corrections: -0.065 eV/atom
data_MnSb2Br
_chemical_formula_sum 'Mn1 Sb2 Br1'
_space_group_name_H-M_alt 'P 1 m 1'
_space_group_IT_number 6
_cell_length_a 4.009
_cell_length_b 3.739
_cell_length_c 8.034
_cell_angle_alpha 90.00
_cell_angle_beta 104.39
_cell_angle_gamma 90.00
loop_
_space_group_symop_operation_xyz
'x,y,z'
'x,-y,z'
loop_
_atom_site_label
_atom_site_type_symbol
_atom_site_fract_x
_atom_site_fract_y
_atom_site_fract_z
Mn1 Mn 0.000 0.000 0.000
Sb1 Sb 0.417 0.500 0.834
Sb2 Sb 0.824 0.000 0.647
Br1 Br 0.113 0.500 0.227


# Mn2SbBr PBE optimized geometry
# * excess energy over the best structure of this formula in the dataset: 46 kJ/mol of formula units
# * formation energy without anion corrections: 0.126 eV/atom
data_Mn2SbBr
_chemical_formula_sum 'Mn2 Sb1 Br1'
_space_group_name_H-M_alt 'P m m 2'
_space_group_IT_number 25
_cell_length_a 3.857
_cell_length_b 5.711
_cell_length_c 4.153
_cell_angle_alpha 90.00
_cell_angle_beta 90.00
_cell_angle_gamma 90.00
loop_
_space_group_symop_operation_xyz
'x,y,z'
'-x,-y,z'
'-x,y,z'
'x,-y,z'
loop_
_atom_site_label
_atom_site_type_symbol
_atom_site_fract_x
_atom_site_fract_y
_atom_site_fract_z
Mn1 Mn 0.000 0.000 0.000
Mn2 Mn 0.500 0.500 0.498
Sb1 Sb 0.500 0.000 0.500
Br1 Br 0.000 0.500 0.999